Entry 1:
Nb2ReRu | GGA-PBE | optimized geometry

Properties
The value obtained for the density is 12.04 g/cm3. The final energy is -10.700 eV per atom. The symmetry is Fm-3m (225). As for the density of states at the Fermi level: 0.8771 states/eV per atom.

abc: 4.519 4.519 4.519
angles: 60.00 60.00 60.00
Fractional coordinates of all 4 atoms:
1 Nb 0.250 0.250 0.250
2 Nb 0.750 0.750 0.750
3 Re 0.000 0.000 0.000
4 Ru 0.500 0.500 0.500

Entry 2:
Nb6ReRu3 | GGA-PBE | optimized geometry

Properties
The value obtained for the density is 10.53 g/cm3. The final energy is -10.317 eV per atom. The symmetry is P2_1/m (11). As for the density of states at the Fermi level: 0.5077 states/eV per atom.

abc: 7.846 4.538 9.638
angles: 90.00 105.84 90.00
Fractional coordinates of all 20 atoms:
1 Nb 0.050 0.250 0.398
2 Nb 0.148 0.750 0.198
3 Nb 0.152 0.250 0.699
4 Nb 0.247 0.250 0.999
5 Nb 0.349 0.750 0.801
6 Nb 0.450 0.250 0.601
7 Nb 0.550 0.750 0.399
8 Nb 0.651 0.250 0.199
9 Nb 0.753 0.750 0.001
10 Nb 0.848 0.750 0.301
11 Nb 0.852 0.250 0.802
12 Nb 0.950 0.750 0.602
13 Re 0.049 0.750 0.900
14 Re 0.951 0.250 0.100
15 Ru 0.257 0.750 0.498
16 Ru 0.353 0.250 0.300
17 Ru 0.448 0.750 0.101
18 Ru 0.552 0.250 0.899
19 Ru 0.647 0.750 0.700
20 Ru 0.743 0.250 0.502